Entry 1:
DyErTm2In4 (PBE, relaxed); SG = Amm2; calculated total energy = -4.032 eV per atom
1.0
7.002 0.000 0.000
0.000 2.278 6.843
0.000 -2.278 6.843
Dy In Er Tm
1 4 1 2
Cartesian
0.000 0.000 0.681
4.949 0.000 8.289
1.456 0.000 5.394
2.053 0.000 8.289
5.546 0.000 5.394
3.501 0.000 13.012
0.000 0.000 10.644
3.501 0.000 3.039

Entry 2:
HoCuGeTe2S (PBE, relaxed); SG = Cmcm; calculated total energy = -4.527 eV per atom
1.0
5.341 4.696 -2.454
-6.908 -1.000 2.807
3.702 0.676 9.352
Ge Ho S Cu Te
2 2 2 2 4
Cartesian
-2.761 0.667 3.761
4.896 3.705 5.943
1.067 2.186 4.852
-0.784 1.848 0.177
0.941 2.389 2.171
1.194 1.983 7.534
-3.899 -0.385 9.721
6.034 4.757 -0.016
3.692 3.863 -1.048
-1.557 0.510 10.752
-2.936 0.258 7.270
5.071 4.114 2.435

Entry 3:
TaCo2 (PBE, relaxed); SG = P4_2/mnm; ΔE_f = 0.12 eV per atom
1.0
-8.161 3.267 1.298
-0.265 -3.844 8.007
1.997 4.168 2.067
Co Ta
20 10
Cartesian
-0.584 -2.662 5.934
-5.997 2.212 1.335
-2.244 -0.456 9.289
-3.675 0.927 7.884
-1.221 -1.374 3.952
-7.841 2.086 3.372
-6.394 4.659 2.985
-2.754 2.665 3.489
0.600 -0.262 6.149
-5.033 -0.344 5.559
-4.185 4.048 2.083
-3.393 -0.232 3.747
-7.028 3.853 5.224
-1.025 1.108 4.957
-5.403 2.484 6.415
-4.541 -1.602 7.618
-7.205 0.798 5.354
-3.885 1.025 1.687
-2.429 -2.788 7.971
-0.035 -1.068 8.388
-3.214 1.796 5.686
-6.211 0.589 7.934
-4.317 4.290 4.842
-1.210 0.931 2.411
-0.218 3.002 3.438
-2.112 -0.698 6.530
-5.322 2.193 3.803
-1.107 1.399 7.570
0.000 0.000 0.000
-5.218 2.660 8.961